VASP calculation (PBE) on crystalline RbCo2Ag at its relaxed geometry.

energy relative to the elements = 138 kJ per mole of atoms
spin magnetization = 0.8139 μB per atom

a = 4.801 Å, b = 4.801 Å, c = 4.801 Å
α = 60.00°, β = 60.00°, γ = 60.00°
Fractional positions:
1 Rb 0.000 0.000 0.000
2 Co 0.250 0.250 0.250
3 Co 0.750 0.750 0.750
4 Ag 0.500 0.500 0.500